Record 1
Compound: CaHg2P
Source: Alexandria via LeMat-Bulk
Functional: meta-GGA SCAN
Structure: PBEsol geometry

Output
energy of formation from the pure elements = -1.314 eV per formula unit
final energy = -157.708 eV per cell
space group = No. 44
N(E_F) = 1.97 states/eV/cell

```
CaHg2P
1.0
-2.2035 2.7324 3.7299
2.2035 -2.7324 3.7299
2.2035 2.7324 -3.7299
Ca Hg P
1 2 1
Cartesian
0.0000 0.0000 0.0000
2.2035 0.0000 2.0492
0.0000 0.0000 4.0029
0.0000 2.7324 1.7482
```

***

Record 2
Compound: Ca2HgP
Source: Alexandria via LeMat-Bulk
Functional: meta-GGA SCAN
Structure: PBEsol geometry

Output
energy of formation from the pure elements = -3.580 eV per formula unit
final energy = -101.471 eV per cell
space group = No. 123
N(E_F) = 0.64 states/eV/cell

```
Ca2HgP
1.0
4.8704 0.0000 0.0000
0.0000 4.8704 0.0000
0.0000 0.0000 3.9019
Ca Hg P
2 1 1
Cartesian
0.0000 2.4352 0.0000
2.4352 0.0000 0.0000
0.0000 0.0000 1.9509
2.4352 2.4352 1.9509
```

***

Record 3
Compound: CaHgP
Source: Alexandria via LeMat-Bulk
Functional: meta-GGA SCAN
Structure: PBEsol geometry

Output
energy of formation from the pure elements = -1.877 eV per formula unit
final energy = -90.105 eV per cell
space group = No. 156
N(E_F) = 1.24 states/eV/cell

```
CaHgP
1.0
4.2632 0.0000 0.0000
-2.1316 3.6920 0.0000
0.0000 0.0000 4.2970
Ca Hg P
1 1 1
Cartesian
0.0000 0.0000 0.0000
0.0000 2.4613 2.4480
2.1316 1.2307 1.6042
```

***

Record 4
Compound: Ca2HgP
Source: Alexandria via LeMat-Bulk
Functional: meta-GGA SCAN
Structure: PBEsol geometry

Output
energy of formation from the pure elements = -3.758 eV per formula unit
final energy = -101.649 eV per cell
space group = No. 12
N(E_F) = 1.47 states/eV/cell

```
Ca2HgP
1.0
3.6706 -2.1173 0.0000
3.6706 2.1173 0.0000
-2.4370 0.0000 6.9880
Ca Hg P
2 1 1
Cartesian
1.2241 0.0000 1.4036
3.6800 0.0000 5.5844
-1.2185 0.0000 3.4940
3.6706 0.0000 0.0000
```

***

Record 5
Compound: Ca2HgP
Source: Alexandria via LeMat-Bulk
Functional: meta-GGA SCAN
Structure: PBEsol geometry

Output
energy of formation from the pure elements = -3.876 eV per formula unit
final energy = -101.768 eV per cell
space group = No. 38
N(E_F) = 0.63 states/eV/cell

```
Ca2HgP
1.0
4.2339 0.0000 0.0000
0.0000 2.0959 5.4659
0.0000 -2.0959 5.4659
Ca Hg P
2 1 1
Cartesian
0.0000 0.0000 0.0000
2.1170 0.0000 3.0297
2.1170 0.0000 6.1079
0.0000 0.0000 7.9528
```

***

Record 6
Compound: CaHgP2
Source: Alexandria via LeMat-Bulk
Functional: meta-GGA SCAN
Structure: PBEsol geometry

Output
energy of formation from the pure elements = -1.598 eV per formula unit
final energy = -100.225 eV per cell
space group = No. 44
N(E_F) = 0.65 states/eV/cell

```
CaHgP2
1.0
-1.7841 2.3469 4.9784
1.7841 -2.3469 4.9784
1.7841 2.3469 -4.9784
Ca Hg P
1 1 2
Cartesian
0.0000 0.0000 0.0000
0.0000 2.3469 2.1204
1.7841 0.0000 3.1567
0.0000 0.0000 4.6378
```

***

Record 7
Compound: RbCaHg2P
Source: Alexandria via LeMat-Bulk
Functional: meta-GGA SCAN
Structure: PBEsol geometry

Output
energy of formation from the pure elements = -0.976 eV per formula unit
final energy = -178.109 eV per cell
space group = No. 123
N(E_F) = 2.21 states/eV/cell

```
RbCaHg2P
1.0
5.8518 0.0000 0.0000
0.0000 5.8518 0.0000
0.0000 0.0000 5.2972
Rb Ca Hg P
1 1 2 1
Cartesian
0.0000 0.0000 0.0000
2.9259 2.9259 2.6486
0.0000 2.9259 2.6486
2.9259 0.0000 2.6486
2.9259 2.9259 0.0000
```

***

Record 8
Compound: Ca2HgPb
Source: Alexandria via LeMat-Bulk
Functional: meta-GGA SCAN
Structure: PBEsol geometry

Output
energy of formation from the pure elements = -3.072 eV per formula unit
final energy = -166.346 eV per cell
space group = No. 123
N(E_F) = 1.14 states/eV/cell

```
Ca2HgPb
1.0
5.3172 0.0000 0.0000
0.0000 5.3172 0.0000
0.0000 0.0000 3.8457
Ca Hg Pb
2 1 1
Cartesian
0.0000 2.6586 0.0000
2.6586 0.0000 0.0000
0.0000 0.0000 1.9228
2.6586 2.6586 1.9228
```

***

Record 9
Compound: Ca2HgPb
Source: Alexandria via LeMat-Bulk
Functional: meta-GGA SCAN
Structure: PBEsol geometry

Output
energy of formation from the pure elements = -3.205 eV per formula unit
final energy = -166.479 eV per cell
space group = No. 225
N(E_F) = 0.47 states/eV/cell

```
Ca2HgPb
1.0
0.0000 3.7923 3.7923
3.7923 0.0000 3.7923
3.7923 3.7923 0.0000
Ca Hg Pb
2 1 1
Cartesian
1.8961 1.8961 1.8961
5.6884 5.6884 5.6884
0.0000 0.0000 0.0000
3.7923 3.7923 3.7923
```

***

Record 10
Compound: CaHg2Pb
Source: Alexandria via LeMat-Bulk
Functional: meta-GGA SCAN
Structure: PBEsol geometry

Output
energy of formation from the pure elements = -1.721 eV per formula unit
final energy = -223.498 eV per cell
space group = No. 123
N(E_F) = 1.86 states/eV/cell

```
CaHg2Pb
1.0
4.7099 0.0000 0.0000
0.0000 4.7099 0.0000
0.0000 0.0000 4.4981
Ca Hg Pb
1 2 1
Cartesian
0.0000 0.0000 0.0000
0.0000 2.3549 2.2490
2.3549 0.0000 2.2490
2.3549 2.3549 0.0000
```

***

Record 11
Compound: CaHg2Pb
Source: Alexandria via LeMat-Bulk
Functional: meta-GGA SCAN
Structure: PBEsol geometry

Output
energy of formation from the pure elements = -1.331 eV per formula unit
final energy = -223.107 eV per cell
space group = No. 12
N(E_F) = 1.81 states/eV/cell

```
CaHg2Pb
1.0
3.2229 -5.4067 0.0000
3.2229 5.4067 0.0000
-1.7782 0.0000 3.0247
Ca Hg Pb
1 2 1
Cartesian
0.0000 0.0000 0.0000
0.7223 2.7033 1.5124
0.7223 -2.7033 1.5124
3.2229 0.0000 0.0000
```

***

Record 12
Compound: Ca3HgPb
Source: Alexandria via LeMat-Bulk
Functional: meta-GGA SCAN
Structure: PBEsol geometry

Output
energy of formation from the pure elements = -0.969 eV per formula unit
final energy = -173.907 eV per cell
space group = No. 221
N(E_F) = 4.90 states/eV/cell

```
Ca3HgPb
1.0
5.9103 0.0000 0.0000
0.0000 5.9103 0.0000
0.0000 0.0000 5.9103
Ca Hg Pb
3 1 1
Cartesian
0.0000 0.0000 2.9551
0.0000 2.9551 0.0000
2.9551 0.0000 0.0000
2.9551 2.9551 2.9551
0.0000 0.0000 0.0000
```

***

Record 13
Compound: CaHg2Pb
Source: Alexandria via LeMat-Bulk
Functional: meta-GGA SCAN
Structure: PBEsol geometry

Output
energy of formation from the pure elements = -1.821 eV per formula unit
final energy = -223.597 eV per cell
space group = No. 139
N(E_F) = 1.75 states/eV/cell

```
CaHg2Pb
1.0
-2.4371 2.4371 4.2125
2.4371 -2.4371 4.2125
2.4371 2.4371 -4.2125
Ca Hg Pb
1 2 1
Cartesian
0.0000 0.0000 0.0000
2.4371 0.0000 2.1062
0.0000 2.4371 2.1062
0.0000 0.0000 4.2125
```

***

Record 14
Compound: CaHg2Pb
Source: Alexandria via LeMat-Bulk
Functional: meta-GGA SCAN
Structure: PBEsol geometry

Output
energy of formation from the pure elements = -1.758 eV per formula unit
final energy = -223.534 eV per cell
space group = No. 123
N(E_F) = 1.24 states/eV/cell

```
CaHg2Pb
1.0
3.7069 0.0000 0.0000
0.0000 3.7069 0.0000
0.0000 0.0000 7.4212
Ca Hg Pb
1 2 1
Cartesian
0.0000 0.0000 0.0000
1.8535 1.8535 1.7936
1.8535 1.8535 5.6276
0.0000 0.0000 3.7106
```

***

Record 15
Compound: CaHgPb3
Source: Alexandria via LeMat-Bulk
Functional: meta-GGA SCAN
Structure: PBEsol geometry

Output
energy of formation from the pure elements = 0.700 eV per formula unit
final energy = -304.473 eV per cell
space group = No. 221
N(E_F) = 2.12 states/eV/cell

```
CaHgPb3
1.0
5.6313 0.0000 0.0000
0.0000 5.6313 0.0000
0.0000 0.0000 5.6313
Ca Hg Pb
1 1 3
Cartesian
0.0000 0.0000 0.0000
2.8156 2.8156 2.8156
0.0000 2.8156 2.8156
2.8156 0.0000 2.8156
2.8156 2.8156 0.0000
```

***

Record 16
Compound: CaHg2Pb
Source: Alexandria via LeMat-Bulk
Functional: meta-GGA SCAN
Structure: PBEsol geometry

Output
energy of formation from the pure elements = -1.592 eV per formula unit
final energy = -223.368 eV per cell
space group = No. 119
N(E_F) = 1.70 states/eV/cell

```
CaHg2Pb
1.0
-2.2746 2.2746 4.8988
2.2746 -2.2746 4.8988
2.2746 2.2746 -4.8988
Ca Hg Pb
1 2 1
Cartesian
0.0000 0.0000 0.0000
0.0000 0.0000 4.8988
0.0000 2.2746 2.4494
2.2746 0.0000 2.4494
```

***

Record 17
Compound: Ca2HgPb
Source: Alexandria via LeMat-Bulk
Functional: meta-GGA SCAN
Structure: PBEsol geometry

Output
energy of formation from the pure elements = -3.070 eV per formula unit
final energy = -166.344 eV per cell
space group = No. 123
N(E_F) = 1.19 states/eV/cell

```
Ca2HgPb
1.0
3.7687 0.0000 0.0000
0.0000 3.7687 0.0000
0.0000 0.0000 7.6944
Ca Hg Pb
2 1 1
Cartesian
0.0000 0.0000 1.8218
0.0000 0.0000 5.8726
1.8844 1.8844 0.0000
1.8844 1.8844 3.8472
```

***

Record 18
Compound: Ca2TaHgPb
Source: Alexandria via LeMat-Bulk
Functional: meta-GGA SCAN
Structure: PBEsol geometry

Output
energy of formation from the pure elements = 3.344 eV per formula unit
final energy = -226.513 eV per cell
space group = No. 123
N(E_F) = 4.53 states/eV/cell

```
Ca2TaHgPb
1.0
5.8250 0.0000 0.0000
0.0000 5.8250 0.0000
0.0000 0.0000 5.2898
Ca Ta Hg Pb
2 1 1 1
Cartesian
0.0000 2.9125 0.0000
2.9125 0.0000 0.0000
0.0000 0.0000 2.6449
2.9125 2.9125 2.6449
0.0000 0.0000 0.0000
```

***

Record 19
Compound: CaSi2HgPd
Source: Alexandria via LeMat-Bulk
Functional: meta-GGA SCAN
Structure: PBEsol geometry

Output
formation energy from raw total energies = 431.1 kJ/mol of formula units
final energy = -126.167 eV per cell
space group = No. 123
N(E_F) = 2.74 states/eV/cell

```
CaSi2HgPd
1.0
4.8440 0.0000 0.0000
0.0000 4.8440 0.0000
0.0000 0.0000 5.4805
Ca Si Hg Pd
1 2 1 1
Cartesian
0.0000 0.0000 0.0000
0.0000 2.4220 2.7402
2.4220 0.0000 2.7402
0.0000 0.0000 2.7402
2.4220 2.4220 0.0000
```

***

Record 20
Compound: CaPmHg2
Source: Alexandria via LeMat-Bulk
Functional: meta-GGA SCAN
Structure: PBEsol geometry

Output
energy of formation from the pure elements = -3.018 eV per formula unit
final energy = -192.999 eV per cell
space group = No. 225
N(E_F) = 2.23 states/eV/cell

```
CaPmHg2
1.0
0.0000 3.7162 3.7162
3.7162 0.0000 3.7162
3.7162 3.7162 0.0000
Ca Pm Hg
1 1 2
Cartesian
0.0000 0.0000 0.0000
3.7162 3.7162 3.7162
1.8581 1.8581 1.8581
5.5743 5.5743 5.5743
```

***

Record 21
Compound: CaPrHg2
Source: Alexandria via LeMat-Bulk
Functional: meta-GGA SCAN
Structure: PBEsol geometry

Output
energy of formation from the pure elements = -3.016 eV per formula unit
final energy = -192.337 eV per cell
space group = No. 225
N(E_F) = 2.33 states/eV/cell

```
CaPrHg2
1.0
0.0000 3.7470 3.7470
3.7470 0.0000 3.7470
3.7470 3.7470 0.0000
Ca Pr Hg
1 1 2
Cartesian
0.0000 0.0000 0.0000
3.7470 3.7470 3.7470
1.8735 1.8735 1.8735
5.6205 5.6205 5.6205
```

***

Record 22
Compound: CaHgPt
Source: Alexandria via LeMat-Bulk
Functional: meta-GGA SCAN
Structure: PBEsol geometry

Output
energy of formation from the pure elements = -2.074 eV per formula unit
final energy = -150.097 eV per cell
space group = No. 216
N(E_F) = 1.24 states/eV/cell

```
CaHgPt
1.0
0.0000 3.3011 3.3011
3.3011 0.0000 3.3011
3.3011 3.3011 0.0000
Ca Hg Pt
1 1 1
Cartesian
0.0000 0.0000 0.0000
3.3011 3.3011 3.3011
1.6505 1.6505 1.6505
```

***

Record 23
Compound: CaHg2Pt
Source: Alexandria via LeMat-Bulk
Functional: meta-GGA SCAN
Structure: PBEsol geometry

Output
energy of formation from the pure elements = -1.883 eV per formula unit
final energy = -218.071 eV per cell
space group = No. 225
N(E_F) = 1.54 states/eV/cell

```
CaHg2Pt
1.0
0.0000 3.4280 3.4280
3.4280 0.0000 3.4280
3.4280 3.4280 0.0000
Ca Hg Pt
1 2 1
Cartesian
0.0000 0.0000 0.0000
1.7140 1.7140 1.7140
5.1420 5.1420 5.1420
3.4280 3.4280 3.4280
```

***

Record 24
Compound: CaHg2Pt
Source: Alexandria via LeMat-Bulk
Functional: meta-GGA SCAN
Structure: PBEsol geometry

Output
energy of formation from the pure elements = -1.726 eV per formula unit
final energy = -217.914 eV per cell
space group = No. 216
N(E_F) = 1.50 states/eV/cell

```
CaHg2Pt
1.0
0.0000 3.4453 3.4453
3.4453 0.0000 3.4453
3.4453 3.4453 0.0000
Ca Hg Pt
1 2 1
Cartesian
0.0000 0.0000 0.0000
1.7226 1.7226 1.7226
3.4453 3.4453 3.4453
5.1679 5.1679 5.1679
```

***

Record 25
Compound: Ca3HgPt
Source: Alexandria via LeMat-Bulk
Functional: meta-GGA SCAN
Structure: PBEsol geometry

Output
energy of formation from the pure elements = 0.374 eV per formula unit
final energy = -166.975 eV per cell
space group = No. 221
N(E_F) = 3.02 states/eV/cell

```
Ca3HgPt
1.0
5.5173 0.0000 0.0000
0.0000 5.5173 0.0000
0.0000 0.0000 5.5173
Ca Hg Pt
3 1 1
Cartesian
0.0000 0.0000 2.7587
0.0000 2.7587 0.0000
2.7587 0.0000 0.0000
0.0000 0.0000 0.0000
2.7587 2.7587 2.7587
```

***

Record 26
Compound: CaHg2Pt
Source: Alexandria via LeMat-Bulk
Functional: meta-GGA SCAN
Structure: PBEsol geometry

Output
energy of formation from the pure elements = -2.000 eV per formula unit
final energy = -218.188 eV per cell
space group = No. 38
N(E_F) = 0.98 states/eV/cell

```
CaHg2Pt
1.0
4.0218 0.0000 0.0000
0.0000 1.9255 5.7773
0.0000 -1.9255 5.7773
Ca Hg Pt
1 2 1
Cartesian
0.0000 0.0000 0.0000
0.0000 0.0000 8.4390
2.0109 0.0000 3.8128
2.0109 0.0000 6.5701
```

***

Record 27
Compound: Ca2HgPtRh
Source: Alexandria via LeMat-Bulk
Functional: meta-GGA SCAN
Structure: PBEsol geometry

Output
energy of formation from the pure elements = 2.553 eV per formula unit
final energy = -188.904 eV per cell
space group = No. 123
N(E_F) = 3.08 states/eV/cell

```
Ca2HgPtRh
1.0
5.4163 0.0000 0.0000
0.0000 5.4163 0.0000
0.0000 0.0000 4.8796
Ca Hg Pt Rh
2 1 1 1
Cartesian
0.0000 2.7082 0.0000
2.7082 0.0000 0.0000
0.0000 0.0000 0.0000
0.0000 0.0000 2.4398
2.7082 2.7082 2.4398
```

***

Record 28
Compound: RbCa3Hg
Source: Alexandria via LeMat-Bulk
Functional: meta-GGA SCAN
Structure: PBEsol geometry

Output
energy of formation from the pure elements = 5.267 eV per formula unit
final energy = -112.629 eV per cell
space group = No. 221
N(E_F) = 6.86 states/eV/cell

```
RbCa3Hg
1.0
6.8507 0.0000 0.0000
0.0000 6.8507 0.0000
0.0000 0.0000 6.8507
Rb Ca Hg
1 3 1
Cartesian
0.0000 0.0000 0.0000
0.0000 0.0000 3.4253
0.0000 3.4253 0.0000
3.4253 0.0000 0.0000
3.4253 3.4253 3.4253
```

***

Record 29
Compound: RbCaHg2
Source: Alexandria via LeMat-Bulk
Functional: meta-GGA SCAN
Structure: PBEsol geometry

Output
energy of formation from the pure elements = -1.172 eV per formula unit
final energy = -167.906 eV per cell
space group = No. 225
N(E_F) = 3.73 states/eV/cell

```
RbCaHg2
1.0
0.0000 3.9472 3.9472
3.9472 0.0000 3.9472
3.9472 3.9472 0.0000
Rb Ca Hg
1 1 2
Cartesian
0.0000 0.0000 0.0000
3.9472 3.9472 3.9472
1.9736 1.9736 1.9736
5.9208 5.9208 5.9208
```

***

Record 30
Compound: Ca2ReHg
Source: Alexandria via LeMat-Bulk
Functional: meta-GGA SCAN
Structure: PBEsol geometry

Output
energy of formation from the pure elements = 1.428 eV per formula unit
final energy = -157.162 eV per cell
space group = No. 123
N(E_F) = 3.37 states/eV/cell

```
Ca2ReHg
1.0
3.0063 0.0000 0.0000
0.0000 3.0063 0.0000
0.0000 0.0000 9.4619
Ca Re Hg
2 1 1
Cartesian
0.0000 0.0000 2.2324
0.0000 0.0000 7.2295
1.5032 1.5032 0.0000
1.5032 1.5032 4.7310
```